No. 1
The following is a DFT calculation (PBE-GGA) of AcPm3Tm4 after structural relaxation.

## Properties
E_form   0.0366 eV per atom

```
data_AcPm3Tm4
_cell_length_a 6.2547
_cell_length_b 3.6365
_cell_length_c 11.8161
_cell_angle_alpha 90.00
_cell_angle_beta 100.37
_cell_angle_gamma 90.00
_symmetry_space_group_name_H-M 'P 1 2/m 1'
_symmetry_Int_Tables_number 10
_symmetry_space_group_name_Hall '-P 2y'
loop_
_atom_site_label
_atom_site_fract_x
_atom_site_fract_y
_atom_site_fract_z
_atom_site_occupancy
Ac1 0.0000 0.0000 0.0000 1
Pm1 0.0000 0.5000 0.5000 1
Pm2 0.5000 0.0000 0.5000 1
Pm3 0.5000 0.5000 0.0000 1
Tm1 0.2512 0.0000 0.7471 1
Tm2 0.2535 0.5000 0.2549 1
```

No. 2
The following is a DFT calculation (PBE-GGA) of LaTbCuPt after structural relaxation.

## Properties
E_form   -0.7249 eV per atom

```
data_LaTbCuPt
_cell_length_a 4.5479
_cell_length_b 3.8868
_cell_length_c 10.8037
_cell_angle_alpha 90.00
_cell_angle_beta 90.00
_cell_angle_gamma 90.00
_symmetry_space_group_name_H-M 'A m m 2'
_symmetry_Int_Tables_number 38
_symmetry_space_group_name_Hall 'A 2 -2'
loop_
_atom_site_label
_atom_site_fract_x
_atom_site_fract_y
_atom_site_fract_z
_atom_site_occupancy
La1 0.0000 0.0000 0.0000 1
Tb1 0.5000 0.0000 0.7250 1
Cu1 0.5000 0.0000 0.4350 1
Pt1 0.0000 0.0000 0.2800 1
```

No. 3
The following is a DFT calculation (PBE-GGA) of Sc4Rh after structural relaxation.

## Properties
E_form   -0.3381 eV per atom

```
data_Sc4Rh
_cell_length_a 8.2579
_cell_length_b 8.2579
_cell_length_c 6.7027
_cell_angle_alpha 90.00
_cell_angle_beta 90.00
_cell_angle_gamma 90.00
_symmetry_space_group_name_H-M 'I -4 2 d'
_symmetry_Int_Tables_number 122
_symmetry_space_group_name_Hall 'I -4 2bw'
loop_
_atom_site_label
_atom_site_fract_x
_atom_site_fract_y
_atom_site_fract_z
_atom_site_occupancy
Sc1 0.0449 0.2032 0.3516 1
Rh1 0.0000 0.0000 0.0000 1
```

No. 4
The following is a DFT calculation (PBE-GGA) of RbMg2Ti after structural relaxation.

## Properties
E_form   0.8220 eV per atom

```
data_RbMg2Ti
_cell_length_a 7.7326
_cell_length_b 7.7326
_cell_length_c 7.7326
_cell_angle_alpha 90.00
_cell_angle_beta 90.00
_cell_angle_gamma 90.00
_symmetry_space_group_name_H-M 'F m -3 m'
_symmetry_Int_Tables_number 225
_symmetry_space_group_name_Hall '-F 4 2 3'
loop_
_atom_site_label
_atom_site_fract_x
_atom_site_fract_y
_atom_site_fract_z
_atom_site_occupancy
Rb1 0.0000 0.0000 0.0000 1
Mg1 0.2500 0.2500 0.2500 1
Ti1 0.0000 0.0000 0.5000 1
```

No. 5
The following is a DFT calculation (PBE-GGA) of PrTiPd2 after structural relaxation.

## Properties
E_form   -0.5749 eV per atom

```
data_PrTiPd2
_cell_length_a 4.4503
_cell_length_b 4.4503
_cell_length_c 15.0413
_cell_angle_alpha 90.00
_cell_angle_beta 90.00
_cell_angle_gamma 120.00
_symmetry_space_group_name_H-M 'R -3 m'
_symmetry_Int_Tables_number 166
_symmetry_space_group_name_Hall '-R 3 2"'
loop_
_atom_site_label
_atom_site_fract_x
_atom_site_fract_y
_atom_site_fract_z
_atom_site_occupancy
Pr1 0.0000 0.0000 0.0000 1
Ti1 0.0000 0.0000 0.5000 1
Pd1 0.0000 0.0000 0.2093 1
```

No. 6
The following is a DFT calculation (PBE-GGA) of CaScSe2Br after structural relaxation.

## Properties
Formation energy from raw total energies   -0.61 eV per atom

```
data_CaScSe2Br
_cell_length_a 5.4403
_cell_length_b 5.4403
_cell_length_c 5.2184
_cell_angle_alpha 90.00
_cell_angle_beta 90.00
_cell_angle_gamma 90.00
_symmetry_space_group_name_H-M 'P 4/m m m'
_symmetry_Int_Tables_number 123
_symmetry_space_group_name_Hall '-P 4 2'
loop_
_atom_site_label
_atom_site_fract_x
_atom_site_fract_y
_atom_site_fract_z
_atom_site_occupancy
Ca1 0.0000 0.0000 0.0000 1
Sc1 0.5000 0.5000 0.5000 1
Se1 0.0000 0.5000 0.0000 1
Br1 0.0000 0.0000 0.5000 1
```

No. 7
The following is a DFT calculation (PBE-GGA) of Sc3AlN after structural relaxation.

## Properties
Formation energy from raw total energies   -0.84 eV per atom

```
data_Sc3AlN
_cell_length_a 8.0332
_cell_length_b 5.7427
_cell_length_c 8.4190
_cell_angle_alpha 90.00
_cell_angle_beta 113.75
_cell_angle_gamma 90.00
_symmetry_space_group_name_H-M 'P 1 21/c 1'
_symmetry_Int_Tables_number 14
_symmetry_space_group_name_Hall '-P 2ybc'
loop_
_atom_site_label
_atom_site_fract_x
_atom_site_fract_y
_atom_site_fract_z
_atom_site_occupancy
Sc1 0.0595 0.0745 0.3529 1
Sc2 0.1897 0.5728 0.5478 1
Sc3 0.3527 0.1212 0.7583 1
Al1 0.3990 0.6667 0.9078 1
N1 0.0733 0.2474 0.5969 1
```

No. 8
The following is a DFT calculation (PBE-GGA) of CaNd3Al2 after structural relaxation.

## Properties
E_form   -0.2438 eV per atom

```
data_CaNd3Al2
_cell_length_a 5.3558
_cell_length_b 9.5608
_cell_length_c 6.8050
_cell_angle_alpha 90.00
_cell_angle_beta 90.00
_cell_angle_gamma 90.00
_symmetry_space_group_name_H-M 'P m c 21'
_symmetry_Int_Tables_number 26
_symmetry_space_group_name_Hall 'P 2c -2'
loop_
_atom_site_label
_atom_site_fract_x
_atom_site_fract_y
_atom_site_fract_z
_atom_site_occupancy
Ca1 0.0000 0.0273 0.0000 1
Nd1 0.0000 0.3278 0.7063 1
Nd2 0.5000 0.1668 0.2738 1
Nd3 0.5000 0.4717 0.9849 1
Al1 0.0000 0.3422 0.2193 1
Al2 0.5000 0.1608 0.7620 1
```